1.
The following is a DFT calculation (PBE) of a relaxed KYAl2 crystal.

Results
- formation energy from the elements (eV per atom) = 0.096
- electronic total energy (eV/atom) = -3.67
- energy above the most stable polymorph in this dataset (meV per atom) = 94
- symmetry = Pm (6)

Cell: 3.5960 4.6330 7.1929 Å, 90.00 104.24 90.00°
With the nearest neighbours (Å) after each atom.
Atoms (fractional coordinates):
K 0.0000 0.0000 0.0000  7 Al 3.42-3.73, 2 K 3.60
Y 0.7000 0.5000 0.3919  6 Al 3.06-3.10
Al 0.2708 0.0000 0.5352  2 Al 2.75
Al 0.3751 0.5000 0.7473  2 Al 2.75, 2 Y 3.06

2.
The following is a DFT calculation (PBE) of a relaxed GdDyTi4 crystal.

Results
- formation energy from the elements (eV per atom) = 0.288
- electronic total energy (eV/atom) = -8.09
- symmetry = F-43m (216)

Cell: 5.8192 5.8192 5.8192 Å, 60.00 60.00 60.00°
With the nearest neighbours (Å) after each atom.
Atoms (fractional coordinates):
Gd 0.0000 0.0000 0.0000  12 Ti 3.41, 4 Dy 3.56
Dy 0.2500 0.2500 0.2500  12 Ti 3.41, 4 Gd 3.56
Ti 0.1247 0.6251 0.6251  6 Ti 2.91
Ti 0.6251 0.1247 0.6251  6 Ti 2.91
Ti 0.6251 0.6251 0.1247  6 Ti 2.91
Ti 0.6251 0.6251 0.6251  6 Ti 2.91

3.
The following is a DFT calculation (PBE) of a relaxed TbPrGdIn crystal.

Results
- formation energy from the elements (eV per atom) = -0.165
- electronic total energy (eV/atom) = -6.72
- symmetry = F-43m (216)

Cell: 7.8261 7.8261 7.8261 Å, 90.00 90.00 90.00°
With the nearest neighbours (Å) after each atom.
Atoms (fractional coordinates):
Tb 0.0000 0.0000 0.0000  4 Gd 3.39, 4 In 3.39
Tb 0.0000 0.5000 0.5000  4 In 3.39, 4 Gd 3.39
Tb 0.5000 0.0000 0.5000  4 In 3.39, 4 Gd 3.39
Tb 0.5000 0.5000 0.0000  4 In 3.39, 4 Gd 3.39
Pr 0.0000 0.0000 0.5000  4 Gd 3.39, 4 In 3.39
Pr 0.0000 0.5000 0.0000  4 Gd 3.39, 4 In 3.39
Pr 0.5000 0.0000 0.0000  4 Gd 3.39, 4 In 3.39
Pr 0.5000 0.5000 0.5000  4 Gd 3.39, 4 In 3.39
Gd 0.2500 0.2500 0.7500  4 Tb 3.39, 4 Pr 3.39
Gd 0.2500 0.7500 0.2500  4 Tb 3.39, 4 Pr 3.39
Gd 0.7500 0.2500 0.2500  4 Tb 3.39, 4 Pr 3.39
Gd 0.7500 0.7500 0.7500  4 Pr 3.39, 4 Tb 3.39
In 0.2500 0.2500 0.2500  4 Tb 3.39, 4 Pr 3.39
In 0.2500 0.7500 0.7500  4 Tb 3.39, 4 Pr 3.39
In 0.7500 0.2500 0.7500  4 Tb 3.39, 4 Pr 3.39
In 0.7500 0.7500 0.2500  4 Tb 3.39, 4 Pr 3.39

4.
The following is a DFT calculation (PBE) of a relaxed Th6SbRu crystal.

Results
- electronic total energy (eV/atom) = -7.33
- formation energy from raw total energies (eV/atom) = -0.092
- symmetry = R-3m (166)

Cell: 6.4885 6.4885 6.4885 Å, 101.57 101.57 101.57°
With the nearest neighbours (Å) after each atom.
Atoms (fractional coordinates):
Th 0.1984 0.1984 0.5950  1 Ru 2.73
Th 0.1984 0.5950 0.1984  1 Ru 2.73
Th 0.4050 0.8016 0.8016  1 Ru 2.73
Th 0.5950 0.1984 0.1984  1 Ru 2.73
Th 0.8016 0.4050 0.8016  1 Ru 2.73
Th 0.8016 0.8016 0.4050  1 Ru 2.73
Sb 0.0000 0.0000 0.0000  12 Th 3.50-3.68
Ru 0.5000 0.5000 0.5000  6 Th 2.73

5.
The following is a DFT calculation (PBE) of a relaxed Tl4FeNi crystal.

Results
- formation energy from the elements (eV per atom) = 1.053
- electronic total energy (eV/atom) = -2.90
- symmetry = F-43m (216)

Cell: 6.1504 6.1504 6.1504 Å, 60.00 60.00 60.00°
With the nearest neighbours (Å) after each atom.
Atoms (fractional coordinates):
Tl 0.1253 0.1253 0.1253  6 Tl 3.07-3.08
Tl 0.1253 0.1253 0.6242  6 Tl 3.07-3.08
Tl 0.1253 0.6242 0.1253  6 Tl 3.07-3.08
Tl 0.6242 0.1253 0.1253  6 Tl 3.07-3.08
Fe 0.7500 0.7500 0.7500  12 Tl 3.61, 4 Ni 3.77
Ni 0.5000 0.5000 0.5000  12 Tl 3.61, 4 Fe 3.77

6.
The following is a DFT calculation (PBE) of a relaxed LiZn2Te crystal.

Results
- electronic total energy (eV/atom) = -1.85
- formation energy from raw total energies (eV/atom) = 0.052
- symmetry = P4/mmm (123)

Cell: 3.1021 3.1021 8.7763 Å, 90.00 90.00 90.00°
With the nearest neighbours (Å) after each atom.
Atoms (fractional coordinates):
Li 0.0000 0.0000 0.0000  8 Zn 2.86, 4 Li 3.10
Zn 0.5000 0.5000 0.2083  4 Li 2.86, 4 Zn 3.10
Zn 0.5000 0.5000 0.7917  4 Li 2.86, 4 Zn 3.10
Te 0.0000 0.0000 0.5000  4 Te 3.10, 8 Zn 3.37

7.
The following is a DFT calculation (PBE) of a relaxed Ce3NdPb4 crystal.

Results
- formation energy from the elements (eV per atom) = -0.423
- electronic total energy (eV/atom) = -5.10
- energy above the most stable polymorph in this dataset (meV per atom) = 0
- symmetry = Pmmm (47)

Cell: 3.3745 5.9518 11.9106 Å, 90.00 90.00 90.00°
With the nearest neighbours (Å) after each atom.
Atoms (fractional coordinates):
Ce 0.0000 0.0000 0.0000  2 Ce 3.37, 8 Pb 3.41-3.42
Ce 0.0000 0.5000 0.2510  2 Ce 3.37, 8 Pb 3.41-3.43
Ce 0.0000 0.5000 0.7490  2 Ce 3.37, 8 Pb 3.41-3.43
Nd 0.0000 0.0000 0.5000  2 Nd 3.37, 8 Pb 3.42-3.43
Pb 0.5000 0.0000 0.2492  2 Pb 3.37, 6 Ce 3.41-3.42, 2 Nd 3.43
Pb 0.5000 0.0000 0.7508  2 Pb 3.37, 6 Ce 3.41-3.42, 2 Nd 3.43
Pb 0.5000 0.5000 0.0000  2 Pb 3.37, 8 Ce 3.42-3.43
Pb 0.5000 0.5000 0.5000  2 Pb 3.37, 4 Ce 3.41, 4 Nd 3.42

8.
The following is a DFT calculation (PBE) of a relaxed ZrOsPt2 crystal.

Results
- formation energy from the elements (eV per atom) = -0.214
- electronic total energy (eV/atom) = -8.18
- symmetry = F-43m (216)

Cell: 6.4584 6.4584 6.4584 Å, 90.00 90.00 90.00°
With the nearest neighbours (Å) after each atom.
Atoms (fractional coordinates):
Zr 0.0000 0.0000 0.0000  4 Os 2.80, 4 Pt 2.80
Zr 0.0000 0.5000 0.5000  4 Os 2.80, 4 Pt 2.80
Zr 0.5000 0.0000 0.5000  4 Os 2.80, 4 Pt 2.80
Zr 0.5000 0.5000 0.0000  4 Os 2.80, 4 Pt 2.80
Os 0.2500 0.2500 0.7500  4 Pt 2.80, 4 Zr 2.80
Os 0.2500 0.7500 0.2500  4 Pt 2.80, 4 Zr 2.80
Os 0.7500 0.2500 0.2500  4 Pt 2.80, 4 Zr 2.80
Os 0.7500 0.7500 0.7500  4 Pt 2.80, 4 Zr 2.80
Pt 0.0000 0.0000 0.5000  4 Pt 2.80, 4 Os 2.80
Pt 0.0000 0.5000 0.0000  4 Pt 2.80, 4 Os 2.80
Pt 0.2500 0.2500 0.2500  4 Zr 2.80, 4 Pt 2.80
Pt 0.2500 0.7500 0.7500  4 Zr 2.80, 4 Pt 2.80
Pt 0.5000 0.0000 0.0000  4 Pt 2.80, 4 Os 2.80
Pt 0.5000 0.5000 0.5000  4 Pt 2.80, 4 Os 2.80
Pt 0.7500 0.2500 0.7500  4 Zr 2.80, 4 Pt 2.80
Pt 0.7500 0.7500 0.2500  4 Zr 2.80, 4 Pt 2.80

9.
The following is a DFT calculation (PBE) of a relaxed ZrAgCl2 crystal.

Results
- electronic total energy (eV/atom) = -4.70
- energy above the most stable polymorph in this dataset (meV per atom) = 0
- formation energy from raw total energies (eV/atom) = -0.923
- symmetry = R-3m (166)

Cell: 3.2388 3.2388 32.3723 Å, 90.00 90.00 120.00°
With the nearest neighbours (Å) after each atom.
Atoms (fractional coordinates):
Zr 0.0000 0.0000 0.0000  6 Cl 2.62
Zr 0.3333 0.6667 0.6667  6 Cl 2.62
Zr 0.6667 0.3333 0.3333  6 Cl 2.62
Ag 0.0000 0.0000 0.5000  6 Ag 3.24
Ag 0.3333 0.6667 0.1667  6 Ag 3.24
Ag 0.6667 0.3333 0.8333  6 Ag 3.24
Cl 0.0000 0.0000 0.2766  3 Zr 2.62
Cl 0.0000 0.0000 0.7234  3 Zr 2.62
Cl 0.3333 0.6667 0.3900  3 Zr 2.62
Cl 0.3333 0.6667 0.9433  3 Zr 2.62
Cl 0.6667 0.3333 0.0567  3 Zr 2.62
Cl 0.6667 0.3333 0.6100  3 Zr 2.62

10.
The following is a DFT calculation (PBE) of a relaxed Tb2ZnCo crystal.

Results
- formation energy from the elements (eV per atom) = -0.244
- electronic total energy (eV/atom) = -4.65
- symmetry = P2_1/m (11)

Cell: 6.0089 3.8674 7.9912 Å, 90.00 109.80 90.00°
With the nearest neighbours (Å) after each atom.
Atoms (fractional coordinates):
Tb 0.2088 0.2500 0.4448  3 Co 2.79-3.05, 3 Zn 3.01-3.03
Tb 0.2114 0.2500 0.9108  2 Co 2.74, 3 Zn 3.01
Tb 0.7886 0.7500 0.0892  2 Co 2.74, 3 Zn 3.01
Tb 0.7912 0.7500 0.5552  3 Co 2.79-3.05, 3 Zn 3.01-3.03
Zn 0.3710 0.7500 0.2173  2 Co 2.57
Zn 0.6290 0.2500 0.7827  2 Co 2.57
Co 0.3292 0.7500 0.7126  2 Zn 2.57, 4 Tb 2.74-2.79
Co 0.6708 0.2500 0.2874  2 Zn 2.57, 4 Tb 2.74-2.79

11.
The following is a DFT calculation (PBE) of a relaxed Tm13In2 crystal.

Results
- formation energy from the elements (eV per atom) = -0.090
- electronic total energy (eV/atom) = -4.33
- symmetry = P-1 (2)

Cell: 6.6118 8.4084 8.7611 Å, 66.76 78.80 82.55°
With the nearest neighbours (Å) after each atom.
Atoms (fractional coordinates):
Tm 0.0000 0.0000 0.0000  2 In 3.18, 6 Tm 3.24-3.46
Tm 0.1212 0.4842 0.7396  2 In 3.13-3.19, 6 Tm 3.32-3.46
Tm 0.1989 0.2261 0.1530  11 Tm 3.24-3.62
Tm 0.2549 0.9391 0.5793  2 In 3.12-3.20, 2 Tm 3.39-3.40
Tm 0.3062 0.6565 0.9755  11 Tm 3.36-3.70
Tm 0.3683 0.4110 0.3901  2 In 3.30-3.37, 10 Tm 3.42-3.70
Tm 0.4838 0.1452 0.7947  1 In 3.13, 4 Tm 3.42-3.49
Tm 0.5162 0.8548 0.2053  1 In 3.13, 4 Tm 3.42-3.49
Tm 0.6317 0.5890 0.6099  2 In 3.30-3.37, 10 Tm 3.42-3.70
Tm 0.6938 0.3435 0.0245  11 Tm 3.36-3.70
Tm 0.7451 0.0609 0.4207  2 In 3.12-3.20, 2 Tm 3.39-3.40
Tm 0.8011 0.7739 0.8470  11 Tm 3.24-3.62
Tm 0.8788 0.5158 0.2604  2 In 3.13-3.19, 6 Tm 3.32-3.46
In 0.0612 0.7671 0.3768  8 Tm 3.12-3.37
In 0.9388 0.2329 0.6232  8 Tm 3.12-3.37

12.
The following is a DFT calculation (PBE) of a relaxed Pm5BiIr crystal.

Results
- formation energy from the elements (eV per atom) = -0.352
- electronic total energy (eV/atom) = -5.57
- symmetry = C2/c (15)

Cell: 6.6265 6.6265 11.6768 Å, 104.06 104.06 65.01°
With the nearest neighbours (Å) after each atom.
Atoms (fractional coordinates):
Pm 0.0258 0.4058 0.6404  1 Ir 2.84
Pm 0.0272 0.9728 0.7500  2 Ir 2.93
Pm 0.2141 0.5445 0.9617  1 Ir 2.71
Pm 0.4058 0.0258 0.1404  1 Ir 2.84
Pm 0.4555 0.7859 0.5383  1 Ir 2.71
Pm 0.5445 0.2141 0.4617  1 Ir 2.71
Pm 0.5942 0.9742 0.8596  1 Ir 2.84
Pm 0.7859 0.4555 0.0383  1 Ir 2.71
Pm 0.9728 0.0272 0.2500  2 Ir 2.93
Pm 0.9742 0.5942 0.3596  1 Ir 2.84
Bi 0.4675 0.5325 0.2500  10 Pm 3.38-3.62
Bi 0.5325 0.4675 0.7500  10 Pm 3.38-3.62
Ir 0.0000 0.0000 0.0000  6 Pm 2.71-2.93
Ir 0.0000 0.0000 0.5000  6 Pm 2.71-2.93